No. 1
4
Lattice="3.620 0.000 0.000 0.000 4.411 0.000 0.000 0.000 7.814" Properties=species:S:1:pos:R:3 comment="GGA-PBEsol KTl2Pb, optimized geometry" rho_g_cm3=8.72 e_form_ev_per_fu=-0.40 energy_ev_per_atom=-2.70 pbc="T T T"
K 0.000 0.000 0.000
Tl 1.810 2.205 2.224
Tl 1.810 2.205 5.590
Pb 0.000 0.000 3.907

No. 2
3
Lattice="-1.804 1.804 7.327 1.804 -1.804 7.327 1.804 1.804 -7.327" Properties=species:S:1:pos:R:3 comment="GGA-PBEsol KTlPb, optimized geometry" rho_g_cm3=7.84 e_form_ev_per_fu=-0.37 polymorph_energy_kj_per_mol_atoms=4.31 energy_ev_per_atom=-2.71 pbc="T T T"
K 0.000 0.000 0.000
Tl 0.000 0.000 4.765
Pb 0.000 0.000 10.019

No. 3
3
Lattice="-1.767 1.845 7.317 1.767 -1.845 7.317 1.767 1.845 -7.317" Properties=species:S:1:pos:R:3 comment="GGA-PBEsol KTlPb, optimized geometry" rho_g_cm3=7.84 e_form_ev_per_fu=-0.37 polymorph_energy_kj_per_mol_atoms=4.42 energy_ev_per_atom=-2.71 pbc="T T T"
K 0.000 0.000 0.000
Tl 0.000 0.000 4.757
Pb 0.000 0.000 10.006

No. 4
6
Lattice="0.000 4.595 4.595 4.595 0.000 4.595 4.595 4.595 0.000" Properties=species:S:1:pos:R:3 comment="GGA-PBEsol KTlPb4, optimized geometry" rho_g_cm3=9.18 e_form_ev_per_fu=-0.23 energy_ev_per_atom=-3.33 pbc="T T T"
K 0.000 0.000 0.000
Tl 6.892 6.892 6.892
Pb 3.446 3.446 3.446
Pb 5.744 5.744 3.446
Pb 5.744 3.446 5.744
Pb 3.446 5.744 5.744

No. 5
3
Lattice="5.549 0.000 0.000 -2.774 4.805 0.000 0.000 0.000 3.497" Properties=species:S:1:pos:R:3 comment="GGA-PBEsol KTlPb, optimized geometry" rho_g_cm3=8.03 e_form_ev_per_fu=-0.27 polymorph_energy_kj_per_mol_atoms=7.66 energy_ev_per_atom=-2.68 pbc="T T T"
K 0.000 0.000 0.000
Tl 0.000 3.204 1.991
Pb 2.774 1.602 1.542

No. 6
4
Lattice="3.736 0.000 0.000 0.000 4.387 0.000 0.000 0.000 7.772" Properties=species:S:1:pos:R:3 comment="GGA-PBEsol KTlPb2, optimized geometry" rho_g_cm3=8.58 e_form_ev_per_fu=-0.40 polymorph_energy_kj_per_mol_atoms=0.00 energy_ev_per_atom=-3.04 pbc="T T T"
K 0.000 0.000 0.000
Tl 1.868 2.194 5.572
Pb 0.000 0.000 3.895
Pb 1.868 2.194 2.312

No. 7
4
Lattice="3.998 0.000 0.000 0.000 3.998 0.000 0.000 0.000 9.996" Properties=species:S:1:pos:R:3 comment="GGA-PBEsol K2TlPb, optimized geometry" rho_g_cm3=5.09 e_form_ev_per_fu=-0.32 polymorph_energy_kj_per_mol_atoms=2.40 energy_ev_per_atom=-2.30 pbc="T T T"
K 0.000 0.000 0.000
K 1.999 1.999 3.871
Tl 1.999 1.999 7.812
Pb 0.000 0.000 6.180

No. 8
4
Lattice="5.217 -1.772 0.000 5.217 1.772 0.000 -0.956 0.000 6.922" Properties=species:S:1:pos:R:3 comment="GGA-PBEsol KTl2Pb, optimized geometry" rho_g_cm3=8.50 e_form_ev_per_fu=-0.22 energy_ev_per_atom=-2.65 pbc="T T T"
K 0.000 0.000 0.000
Tl 4.753 0.000 3.419
Tl 7.576 0.000 2.029
Pb 1.884 0.000 4.840

No. 9
4
Lattice="5.368 -1.758 0.000 5.368 1.758 0.000 -0.973 0.000 6.495" Properties=species:S:1:pos:R:3 comment="GGA-PBEsol KTl2Pb, optimized geometry" rho_g_cm3=8.87 e_form_ev_per_fu=-0.24 energy_ev_per_atom=-2.66 pbc="T T T"
K 0.000 0.000 0.000
Tl 1.918 0.000 4.726
Tl 7.845 0.000 1.769
Pb 4.882 0.000 3.247

No. 10
4
Lattice="3.910 0.000 0.000 0.000 4.500 0.000 0.000 0.000 5.877" Properties=species:S:1:pos:R:3 comment="GGA-PBEsol K2PbW, optimized geometry" rho_g_cm3=7.53 e_form_ev_per_fu=4.97 energy_ev_per_atom=-3.78 pbc="T T T"
K 0.000 0.000 0.000
K 1.955 2.250 0.000
Pb 0.000 2.250 2.939
W 1.955 0.000 2.939

No. 11
4
Lattice="1.671 0.965 10.215 -1.671 0.965 10.215 0.000 -1.930 10.215" Properties=species:S:1:pos:R:3 comment="GGA-PBEsol KPb2W, optimized geometry" rho_g_cm3=10.71 e_form_ev_per_fu=2.37 polymorph_energy_kj_per_mol_atoms=0.00 energy_ev_per_atom=-5.14 pbc="T T T"
K 0.000 0.000 0.000
Pb 0.000 0.000 7.282
Pb 0.000 0.000 23.362
W 0.000 0.000 15.322

No. 12
4
Lattice="3.435 -4.578 0.000 3.435 4.578 0.000 0.000 0.000 3.034" Properties=species:S:1:pos:R:3 comment="GGA-PBEsol KPb2W, optimized geometry" rho_g_cm3=11.09 e_form_ev_per_fu=4.23 polymorph_energy_kj_per_mol_atoms=44.73 energy_ev_per_atom=-4.68 pbc="T T T"
K 0.000 0.000 0.000
Pb 1.718 2.289 1.517
Pb 1.718 -2.289 1.517
W 3.435 0.000 0.000